VASP calculation (PBE+U) on crystalline Li4Mn3O7 at its relaxed geometry.

The structure in extended XYZ format:
```
28
Lattice="5.361 0.000 0.000 0.505 6.492 0.000 2.177 0.181 7.502" Properties=species:S:1:pos:R:3 pbc="T T T"
Li 0.000 0.000 0.000
Li 1.717 5.579 2.685
Li 1.715 3.682 0.591
Li 3.706 1.905 5.962
Li 3.769 0.090 3.751
Li 4.337 4.767 1.541
Li 6.327 2.990 6.911
Li 6.326 1.094 4.817
Mn 2.680 4.774 5.405
Mn 2.689 2.840 3.238
Mn 2.685 0.944 1.068
Mn 5.358 5.729 6.434
Mn 5.354 3.833 4.265
Mn 5.362 1.898 2.098
O 1.970 2.934 5.057
O 0.991 1.758 0.444
O 1.965 1.038 2.890
O 3.660 6.426 5.717
O 2.522 5.645 0.749
O 3.378 4.635 3.549
O 4.652 3.940 6.116
O 3.391 2.732 1.386
O 4.664 2.037 3.954
O 5.520 1.027 6.754
O 4.383 0.247 1.785
O 6.077 5.634 4.612
O 7.052 4.914 7.059
O 6.073 3.738 2.446
```

Computed properties:
Space group = P-1 (2)
Total DFT energy (no corrections) = -6.4184 eV/atom